No. 1
A relaxed NaCa2ErO4 crystal, computed with GGA-PBE.

It has space group P2/m (No. 10), with a = 5.824 Å, b = 3.407 Å, c = 5.825 Å, α = 90.00°, β = 108.25° and γ = 90.00°. Symmetry generates all atoms from Na at (0.000, 0.000, 0.000), Ca at (0.500, 0.000, 0.500), Ca at (0.500, 0.500, 0.000), Er at (0.000, 0.500, 0.500), O at (0.237, 0.000, 0.732) and O at (0.254, 0.500, 0.272).

The crystal system is monoclinic. The formation energy (no corrections) comes out at -2852 meV/atom.


No. 2
A relaxed NaCaEr2S4 crystal, computed with GGA-PBE.

It has space group P2/m (No. 10), with a = 6.784 Å, b = 3.922 Å, c = 6.938 Å, α = 90.00°, β = 109.01° and γ = 90.00°. Symmetry generates all atoms from Na at (0.000, 0.000, 0.000), Ca at (0.500, 0.500, 0.000), Er at (0.000, 0.500, 0.500), Er at (0.500, 0.000, 0.500), S at (0.247, 0.000, 0.739) and S at (0.257, 0.500, 0.266).

The crystal system is monoclinic. The formation energy (no corrections) comes out at -1949 meV/atom.